*w*
BaPm2Dy: relaxed, PBE.

Cell lengths 3.7510, 3.7510, 10.8719 Å; angles 90.00, 90.00, 90.00 degrees
Last column: nearest neighbours and their distance in Å.
Space group P4/mmm (No. 123)
Inequivalent atoms, fractional coordinates:
1 Ba 0.0000 0.0000 0.0000 x1  4 Ba 3.75, 8 Pm 4.06
2 Pm 0.5000 0.5000 0.2830 x2  4 Dy 3.55, 4 Pm 3.75
3 Dy 0.0000 0.0000 0.5000 x1  8 Pm 3.55, 4 Dy 3.75

- density (g/cm³) = 6.40
- magnetization (μB per formula unit) = 0.00
- V (Å³ per atom) = 38.241

*x*
BaPm2Dy: relaxed, PBE.

Cell lengths 3.6636, 3.6636, 39.1956 Å; angles 90.00, 90.00, 120.00 degrees
Last column: nearest neighbours and their distance in Å.
Space group R-3m (No. 166, hexagonal axes)
Inequivalent atoms, fractional coordinates:
1 Ba 0.0000 0.0000 0.0000 x3  6 Ba 3.66, 2 Pm 3.68
2 Pm 0.0000 0.0000 0.0938 x6  3 Dy 3.55, 6 Pm 3.66, 1 Ba 3.68
3 Dy 0.0000 0.0000 0.5000 x3  6 Pm 3.55, 6 Dy 3.66

- density (g/cm³) = 6.45
- magnetization (μB per formula unit) = 0.00
- V (Å³ per atom) = 37.966

It comes down to *w*, which is 7.5 kJ/mol of atoms more stable than the next structure.

*w*
BaPmDy2: relaxed, PBE.

Cell lengths 3.6339, 3.6339, 38.7953 Å; angles 90.00, 90.00, 120.00 degrees
Last column: nearest neighbours and their distance in Å.
Space group R-3m (No. 166, hexagonal axes)
Inequivalent atoms, fractional coordinates:
1 Ba 0.0000 0.0000 0.0000 x3  2 Dy 3.62, 6 Ba 3.63
2 Pm 0.0000 0.0000 0.5000 x3  6 Dy 3.54, 6 Pm 3.63
3 Dy 0.0000 0.0000 0.0932 x6  3 Pm 3.54, 1 Ba 3.62, 6 Dy 3.63

- density (g/cm³) = 6.82
- magnetization (μB per formula unit) = 0.00
- V (Å³ per atom) = 36.971

*x*
BaPmDy2: relaxed, PBE.

Cell lengths 3.7222, 3.7222, 10.8270 Å; angles 90.00, 90.00, 90.00 degrees
Last column: nearest neighbours and their distance in Å.
Space group P4/mmm (No. 123)
Inequivalent atoms, fractional coordinates:
1 Ba 0.0000 0.0000 0.0000 x1  4 Ba 3.72, 8 Dy 4.02
2 Pm 0.0000 0.0000 0.5000 x1  8 Dy 3.54, 4 Pm 3.72
3 Dy 0.5000 0.5000 0.2810 x2  4 Pm 3.54, 4 Dy 3.72

- density (g/cm³) = 6.72
- magnetization (μB per formula unit) = 0.00
- V (Å³ per atom) = 37.501

It comes down to *x*, which is 7.2 kJ/mol of atoms more stable than the next structure.

*w*
BaPrDy: relaxed, PBE.

Cell lengths 3.8284, 3.8284, 16.6675 Å; angles 90.00, 90.00, 90.00 degrees
Last column: nearest neighbours and their distance in Å.
Space group I4mm (No. 107)
Inequivalent atoms, fractional coordinates:
1 Ba 0.0000 0.0000 0.0000 x2  4 Ba 3.83, 4 Dy 4.04, 4 Pr 4.09
2 Pr 0.0000 0.0000 0.3164 x2  4 Dy 3.54, 4 Pr 3.83
3 Dy 0.0000 0.0000 0.6795 x2  4 Pr 3.54, 4 Dy 3.83

- density (g/cm³) = 5.99
- magnetization (μB per formula unit) = 0.00
- V (Å³ per atom) = 40.715

*x*
BaPrDy: relaxed, PBE.

Cell lengths 3.8192, 3.8192, 9.5096 Å; angles 90.00, 90.00, 120.00 degrees
Last column: nearest neighbours and their distance in Å.
Space group P3m1 (No. 156)
Inequivalent atoms, fractional coordinates:
1 Ba 0.0000 0.0000 0.0000 x1  6 Ba 3.82, 3 Dy 3.97, 3 Pr 4.08
2 Pr 0.3333 0.6667 0.6386 x1  3 Dy 3.54, 6 Pr 3.82
3 Dy 0.6667 0.3333 0.3470 x1  3 Pr 3.54, 6 Dy 3.82

- density (g/cm³) = 6.09
- magnetization (μB per formula unit) = 0.00
- V (Å³ per atom) = 40.043

It comes down to *w*, which is 1.2 kJ/mol of atoms more stable than the next structure.

*w*
BaPrDy2: relaxed, PBE.

Cell lengths 3.7455, 3.7455, 10.8421 Å; angles 90.00, 90.00, 90.00 degrees
Last column: nearest neighbours and their distance in Å.
Space group P4/mmm (No. 123)
Inequivalent atoms, fractional coordinates:
1 Ba 0.0000 0.0000 0.0000 x1  4 Ba 3.75, 8 Dy 4.02
2 Pr 0.0000 0.0000 0.5000 x1  8 Dy 3.57, 4 Pr 3.75
3 Dy 0.5000 0.5000 0.2793 x2  4 Pr 3.57, 4 Dy 3.75

- density (g/cm³) = 6.59
- magnetization (μB per formula unit) = 0.00
- V (Å³ per atom) = 38.025

*x*
BaPrDy2: relaxed, PBE.

Cell lengths 3.6527, 3.6527, 38.9343 Å; angles 90.00, 90.00, 120.00 degrees
Last column: nearest neighbours and their distance in Å.
Space group R-3m (No. 166, hexagonal axes)
Inequivalent atoms, fractional coordinates:
1 Ba 0.0000 0.0000 0.0000 x3  2 Dy 3.61, 6 Ba 3.65
2 Pr 0.0000 0.0000 0.5000 x3  6 Dy 3.57, 6 Pr 3.65
3 Dy 0.0000 0.0000 0.0928 x6  3 Pr 3.57, 1 Ba 3.61, 6 Dy 3.65

- density (g/cm³) = 6.68
- magnetization (μB per formula unit) = 0.00
- V (Å³ per atom) = 37.490

It comes down to *w*, which is 7.4 kJ/mol of atoms more stable than the next structure.

*w*
BaDy2Sc: relaxed, PBE.

Cell lengths 3.5454, 3.5454, 37.5090 Å; angles 90.00, 90.00, 120.00 degrees
Last column: nearest neighbours and their distance in Å.
Space group R-3m (No. 166, hexagonal axes)
Inequivalent atoms, fractional coordinates:
1 Ba 0.0000 0.0000 0.0000 x3  6 Ba 3.55, 2 Dy 3.61
2 Dy 0.0000 0.0000 0.0963 x6  3 Sc 3.34, 6 Dy 3.55, 1 Ba 3.61
3 Sc 0.0000 0.0000 0.5000 x3  6 Dy 3.34, 6 Sc 3.55

- density (g/cm³) = 6.19
- magnetization (μB per formula unit) = 0.12
- V (Å³ per atom) = 34.027

*x*
BaDy2Sc: relaxed, PBE.

Cell lengths 3.8950, 3.8950, 9.4983 Å; angles 90.00, 90.00, 90.00 degrees
Last column: nearest neighbours and their distance in Å.
Space group P4/mmm (No. 123)
Inequivalent atoms, fractional coordinates:
1 Ba 0.0000 0.0000 0.0000 x1  4 Ba 3.90, 8 Dy 4.05
2 Dy 0.5000 0.5000 0.3133 x2  4 Sc 3.28, 1 Dy 3.55
3 Sc 0.0000 0.0000 0.5000 x1  8 Dy 3.28

- density (g/cm³) = 5.85
- magnetization (μB per formula unit) = 0.00
- V (Å³ per atom) = 36.025

It comes down to *x*, which is 9.4 kJ/mol of atoms more stable than the next structure.

*w*
BaSmDy2: relaxed, PBE.

Cell lengths 3.6265, 3.6265, 38.7507 Å; angles 90.00, 90.00, 120.00 degrees
Last column: nearest neighbours and their distance in Å.
Space group R-3m (No. 166, hexagonal axes)
Inequivalent atoms, fractional coordinates:
1 Ba 0.0000 0.0000 0.0000 x3  2 Dy 3.62, 6 Ba 3.63
2 Sm 0.0000 0.0000 0.5000 x3  6 Dy 3.53, 6 Sm 3.63
3 Dy 0.0000 0.0000 0.0933 x6  3 Sm 3.53, 1 Ba 3.62, 6 Dy 3.63

- density (g/cm³) = 6.92
- magnetization (μB per formula unit) = 0.00
- V (Å³ per atom) = 36.780

*x*
BaSmDy2: relaxed, PBE.

Cell lengths 3.7146, 3.7146, 10.8188 Å; angles 90.00, 90.00, 90.00 degrees
Last column: nearest neighbours and their distance in Å.
Space group P4/mmm (No. 123)
Inequivalent atoms, fractional coordinates:
1 Ba 0.0000 0.0000 0.0000 x1  4 Ba 3.71, 8 Dy 4.02
2 Sm 0.0000 0.0000 0.5000 x1  8 Dy 3.53, 4 Sm 3.71
3 Dy 0.5000 0.5000 0.2816 x2  4 Sm 3.53, 4 Dy 3.71

- density (g/cm³) = 6.82
- magnetization (μB per formula unit) = 0.00
- V (Å³ per atom) = 37.319

It comes down to *x*, which is 7.1 kJ/mol of atoms more stable than the next structure.

*w*
BaDy2Th: relaxed, PBE.

Cell lengths 3.6278, 3.6278, 38.2694 Å; angles 90.00, 90.00, 120.00 degrees
Last column: nearest neighbours and their distance in Å.
Space group R-3m (No. 166, hexagonal axes)
Inequivalent atoms, fractional coordinates:
1 Ba 0.0000 0.0000 0.0000 x3  6 Ba 3.63, 2 Dy 3.63
2 Dy 0.0000 0.0000 0.0949 x6  3 Th 3.45, 6 Dy 3.63, 1 Ba 3.63
3 Th 0.0000 0.0000 0.5000 x3  6 Dy 3.45, 6 Th 3.63

- density (g/cm³) = 7.93
- magnetization (μB per formula unit) = 0.00
- V (Å³ per atom) = 36.349

*x*
BaDy2Th: relaxed, PBE.

Cell lengths 3.6792, 3.6792, 10.8970 Å; angles 90.00, 90.00, 90.00 degrees
Last column: nearest neighbours and their distance in Å.
Space group P4/mmm (No. 123)
Inequivalent atoms, fractional coordinates:
1 Ba 0.0000 0.0000 0.0000 x1  4 Ba 3.68, 8 Dy 4.09
2 Dy 0.5000 0.5000 0.2894 x2  4 Th 3.47, 4 Dy 3.68
3 Th 0.0000 0.0000 0.5000 x1  8 Dy 3.47, 4 Th 3.68

- density (g/cm³) = 7.82
- magnetization (μB per formula unit) = 0.00
- V (Å³ per atom) = 36.877

It comes down to *x*, which is 8.0 kJ/mol of atoms more stable than the next structure.

*w*
BaDyTl: relaxed, PBE.

Cell lengths 4.0311, 4.0311, 13.8825 Å; angles 90.00, 90.00, 90.00 degrees
Last column: nearest neighbours and their distance in Å.
Space group I4mm (No. 107)
Inequivalent atoms, fractional coordinates:
1 Ba 0.0000 0.0000 0.0000 x2  4 Tl 3.78, 5 Dy 3.88-4.19, 4 Ba 4.03
2 Dy 0.0000 0.0000 0.2792 x2  4 Tl 3.17
3 Tl 0.0000 0.0000 0.6786 x2  4 Dy 3.17

- density (g/cm³) = 7.42
- magnetization (μB per formula unit) = 0.00
- V (Å³ per atom) = 37.598

*x*
BaDyTl: relaxed, PBE.

Cell lengths 5.2612, 5.2612, 8.2867 Å; angles 90.00, 90.00, 90.00 degrees
Last column: nearest neighbours and their distance in Å.
Space group P4/nmm (No. 129, origin choice 2)
Inequivalent atoms, fractional coordinates:
1 Ba 0.2500 0.2500 0.1396 x2  5 Tl 3.52-3.91
2 Dy 0.2500 0.7500 0.5000 x2  4 Tl 3.18
3 Tl 0.2500 0.2500 0.7146 x2  4 Dy 3.18, 1 Ba 3.52

- density (g/cm³) = 7.30
- magnetization (μB per formula unit) = 0.00
- V (Å³ per atom) = 38.230

*y*
BaDyTl: relaxed, PBE.

Cell lengths 5.5140, 5.5140, 4.2400 Å; angles 90.00, 90.00, 120.00 degrees
Last column: nearest neighbours and their distance in Å.
Space group P-6m2 (No. 187)
Inequivalent atoms, fractional coordinates:
1 Ba 0.0000 0.0000 0.0000 x1  6 Dy 3.82, 6 Tl 3.82, 2 Ba 4.24
2 Dy 0.3333 0.6667 0.5000 x1  3 Tl 3.18
3 Tl 0.6667 0.3333 0.5000 x1  3 Dy 3.18

- density (g/cm³) = 7.50
- magnetization (μB per formula unit) = 0.00
- V (Å³ per atom) = 37.214

It comes down to *x*, which is 13.6 kJ/mol of atoms more stable than the next structure.

*w*
BaDy2Zn: relaxed, PBE.

Cell lengths 3.6832, 3.6832, 9.5975 Å; angles 90.00, 90.00, 90.00 degrees
Last column: nearest neighbours and their distance in Å.
Space group P4/mmm (No. 123)
Inequivalent atoms, fractional coordinates:
1 Ba 0.0000 0.0000 0.0000 x1  4 Ba 3.68, 8 Dy 4.08
2 Dy 0.5000 0.5000 0.3273 x2  4 Zn 3.09, 1 Dy 3.31
3 Zn 0.0000 0.0000 0.5000 x1  8 Dy 3.09

- density (g/cm³) = 6.73
- magnetization (μB per formula unit) = 0.00
- V (Å³ per atom) = 32.549

*x*
BaDy2Zn: relaxed, PBE.

Cell lengths 3.6501, 3.6501, 34.7908 Å; angles 90.00, 90.00, 120.00 degrees
Last column: nearest neighbours and their distance in Å.
Space group R-3m (No. 166, hexagonal axes)
Inequivalent atoms, fractional coordinates:
1 Ba 0.0000 0.0000 0.0000 x3  6 Ba 3.65, 2 Dy 3.69
2 Dy 0.0000 0.0000 0.1060 x6  3 Zn 2.98
3 Zn 0.0000 0.0000 0.5000 x3  6 Dy 2.98

- density (g/cm³) = 6.55
- magnetization (μB per formula unit) = 0.11
- V (Å³ per atom) = 33.452

It comes down to *w*, which is 17.8 kJ/mol of atoms more stable than the next structure.

*w*
BaErGa2: relaxed, PBE.

Cell lengths 3.7794, 3.7794, 7.7051 Å; angles 90.00, 90.00, 90.00 degrees
Last column: nearest neighbours and their distance in Å.
Space group P4/mmm (No. 123)
Inequivalent atoms, fractional coordinates:
1 Ba 0.0000 0.0000 0.0000 x1  8 Ga 3.56, 4 Ba 3.78, 2 Er 3.85
2 Er 0.0000 0.0000 0.5000 x1  8 Ga 3.07
3 Ga 0.5000 0.5000 0.3050 x2  1 Ga 3.01, 4 Er 3.07

- density (g/cm³) = 6.70
- magnetization (μB per formula unit) = 0.00
- V (Å³ per atom) = 27.514

*x*
BaErGa2: relaxed, PBE.

Cell lengths 3.8247, 3.8247, 28.2210 Å; angles 90.00, 90.00, 120.00 degrees
Last column: nearest neighbours and their distance in Å.
Space group R-3m (No. 166, hexagonal axes)
Inequivalent atoms, fractional coordinates:
1 Ba 0.0000 0.0000 0.0000 x3  6 Ga 3.43, 6 Ba 3.82
2 Er 0.0000 0.0000 0.5000 x3  6 Ga 3.04
3 Ga 0.0000 0.0000 0.2405 x6  3 Er 3.04

- density (g/cm³) = 6.19
- magnetization (μB per formula unit) = 0.00
- V (Å³ per atom) = 29.793

It comes down to *w*, which is 26.3 kJ/mol of atoms more stable than the next structure.

*w*
BaErIn: relaxed, PBE.

Cell lengths 5.2224, 5.2224, 8.3460 Å; angles 90.00, 90.00, 90.00 degrees
Last column: nearest neighbours and their distance in Å.
Space group P4/nmm (No. 129, origin choice 2)
Inequivalent atoms, fractional coordinates:
1 Ba 0.2500 0.2500 0.1435 x2  5 In 3.59-3.88, 4 Er 3.96
2 Er 0.2500 0.7500 0.5000 x2  4 In 3.16
3 In 0.2500 0.2500 0.7131 x2  4 Er 3.16

- density (g/cm³) = 6.12
- magnetization (μB per formula unit) = 0.00
- V (Å³ per atom) = 37.937

*x*
BaErIn: relaxed, PBE.

Cell lengths 3.9809, 3.9809, 13.8294 Å; angles 90.00, 90.00, 90.00 degrees
Last column: nearest neighbours and their distance in Å.
Space group I4mm (No. 107)
Inequivalent atoms, fractional coordinates:
1 Ba 0.0000 0.0000 0.0000 x2  4 In 3.74, 5 Er 3.88-4.14, 4 Ba 3.98
2 Er 0.0000 0.0000 0.2809 x2  4 In 3.15
3 In 0.0000 0.0000 0.6784 x2  4 Er 3.15

- density (g/cm³) = 6.36
- magnetization (μB per formula unit) = 0.00
- V (Å³ per atom) = 36.526

It comes down to *w*, which is 13.9 kJ/mol of atoms more stable than the next structure.

*w*
BaErMg2: relaxed, PBE.

Cell lengths 3.9750, 3.9750, 8.3830 Å; angles 90.00, 90.00, 90.00 degrees
Last column: nearest neighbours and their distance in Å.
Space group P4/mmm (No. 123)
Inequivalent atoms, fractional coordinates:
1 Ba 0.0000 0.0000 0.0000 x1  8 Mg 3.76, 4 Ba 3.97, 2 Er 4.19
2 Er 0.0000 0.0000 0.5000 x1  8 Mg 3.28
3 Mg 0.5000 0.5000 0.2973 x2  4 Er 3.28, 1 Mg 3.40

- density (g/cm³) = 4.43
- magnetization (μB per formula unit) = 0.12
- V (Å³ per atom) = 33.114

*x*
BaErMg2: relaxed, PBE.

Cell lengths 8.0723, 8.0723, 8.0723 Å; angles 90.00, 90.00, 90.00 degrees
Last column: nearest neighbours and their distance in Å.
Space group Fm-3m (No. 225)
Inequivalent atoms, fractional coordinates:
1 Ba 0.0000 0.0000 0.0000 x4  8 Mg 3.50
2 Er 0.0000 0.0000 0.5000 x4  8 Mg 3.50
3 Mg 0.2500 0.2500 0.2500 x8  4 Ba 3.50, 4 Er 3.50

- density (g/cm³) = 4.46
- magnetization (μB per formula unit) = 0.00
- V (Å³ per atom) = 32.876

It comes down to *w*, which is 7.7 kJ/mol of atoms more stable than the next structure.